# 1
The following is a DFT calculation (PBE) of crystalline TmHfNi at its relaxed geometry.

Results
Spin magnetization ... 0.8 μB per formula unit
Offset from the most stable computed form ... 0.074 eV per atom
Formation energy from the elements ... -0.21 eV/atom
DFT total energy ... -20.84 eV per cell

Lattice parameters (Å, degrees): 6.127 6.127 6.127 149.00 149.00 44.41
Element x y z (fractional)
Tm (0.000, 0.000, 0.000)
Hf (0.286, 0.286, 0.000)
Ni (0.670, 0.670, 0.000)

# 2
The following is a DFT calculation (PBE) of crystalline TbHo3 at its relaxed geometry.

Results
Spin magnetization ... 0.0 μB per formula unit
Offset from the most stable computed form ... 0.140 eV per atom
Formation energy from the elements ... 0.15 eV/atom
DFT total energy ... -17.78 eV per cell

Lattice parameters (Å, degrees): 5.627 5.627 5.627 60.00 60.00 60.00
Element x y z (fractional)
Tb (0.000, 0.000, 0.000)
Ho (0.250, 0.250, 0.250)
Ho (0.500, 0.500, 0.500)
Ho (0.750, 0.750, 0.750)

# 3
The following is a DFT calculation (PBE) of crystalline Li3ScPa2S6 at its relaxed geometry.

Results
Spin magnetization ... 3.5 μB per formula unit
DFT total energy ... -74.44 eV per cell

Lattice parameters (Å, degrees): 6.588 6.588 6.646 99.46 99.46 120.16
Element x y z (fractional)
Li (0.000, 0.000, 0.000)
Li (0.338, 0.662, 0.000)
Li (0.662, 0.338, 0.000)
Sc (0.500, 0.500, 0.500)
Pa (0.168, 0.832, 0.500)
Pa (0.832, 0.168, 0.500)
S (0.093, 0.414, 0.243)
S (0.261, 0.261, 0.751)
S (0.414, 0.093, 0.243)
S (0.586, 0.907, 0.757)
S (0.739, 0.739, 0.249)
S (0.907, 0.586, 0.757)

# 4
The following is a DFT calculation (PBE) of crystalline Ca2LaSi at its relaxed geometry.

Results
Spin magnetization ... 0.0 μB per formula unit
DFT total energy ... -15.15 eV per cell

Lattice parameters (Å, degrees): 3.645 3.645 9.914 90.00 90.00 90.00
Element x y z (fractional)
Ca (0.000, 0.000, 0.000)
Ca (0.500, 0.500, 0.316)
La (0.000, 0.000, 0.643)
Si (0.500, 0.500, 0.820)

# 5
The following is a DFT calculation (PBE) of crystalline TbPr5Tl8 at its relaxed geometry.

Results
Spin magnetization ... 0.0 μB per formula unit
Formation energy from the elements ... -0.30 eV/atom
DFT total energy ... -51.70 eV per cell

Lattice parameters (Å, degrees): 8.258 8.258 8.258 109.07 109.07 110.29
Element x y z (fractional)
Tb (0.000, 0.000, 0.000)
Pr (0.257, 0.633, 0.137)
Pr (0.367, 0.504, 0.624)
Pr (0.496, 0.120, 0.863)
Pr (0.750, 0.250, 0.500)
Pr (0.880, 0.743, 0.376)
Tl (0.121, 0.210, 0.758)
Tl (0.125, 0.717, 0.765)
Tl (0.283, 0.049, 0.409)
Tl (0.452, 0.363, 0.242)
Tl (0.637, 0.879, 0.089)
Tl (0.640, 0.875, 0.591)
Tl (0.790, 0.548, 0.911)
Tl (0.951, 0.360, 0.235)

# 6
The following is a DFT calculation (PBE) of crystalline RbRe2BiRh at its relaxed geometry.

Results
Spin magnetization ... 1.5 μB per formula unit
Formation energy from the elements ... 1.88 eV/atom
DFT total energy ... -27.69 eV per cell

Lattice parameters (Å, degrees): 4.804 4.804 5.628 90.00 90.00 90.00
Element x y z (fractional)
Rb (0.000, 0.000, 0.000)
Re (0.000, 0.500, 0.500)
Re (0.500, 0.000, 0.500)
Bi (0.500, 0.500, 0.000)
Rh (0.000, 0.000, 0.500)